Material: Sr2Hg16Bi
Method: DFT, PBE
State: relaxed

Unit cell a=9.8537 b=9.8537 c=19.3691 alpha=90.00 beta=90.00 gamma=120.00
Space group R3m (No. 160, hexagonal axes)
One atom of each set of equivalent atoms:
Sr (0.0000, 0.0000, 0.0000) [3 per cell]
Sr (0.0000, 0.0000, 0.4126) [3 per cell]
Hg (0.0000, 0.0000, 0.8160) [3 per cell]
Hg (0.0192, 0.5096, 0.1935) [9 per cell]
Hg (0.0333, 0.3657, 0.3693) [18 per cell]
Hg (0.0945, 0.5473, 0.8193) [9 per cell]
Hg (0.1806, 0.3612, 0.9147) [9 per cell]
Bi (0.0000, 0.0000, 0.6141) [3 per cell]

Computed properties:
energy of formation from the pure elements	-2.87	eV per formula unit
Fermi-level density of states	0.309	states/eV per atom